Record 1
# Nd5SnSe4, optimized geometry, DFT PBE-GGA
data_Nd5SnSe4
_chemical_formula_sum 'Nd5 Sn1 Se4'
_symmetry_space_group_name_H-M 'P 1'
_symmetry_Int_Tables_number 1
_symmetry_space_group_name_Hall 'P 1'
_cell_length_a 7.4498
_cell_length_b 7.4498
_cell_length_c 7.4498
_cell_angle_alpha 99.56
_cell_angle_beta 99.56
_cell_angle_gamma 131.90
loop_
_atom_site_label
_atom_site_type_symbol
_atom_site_fract_x
_atom_site_fract_y
_atom_site_fract_z
Nd1 Nd 0.0000 0.0000 0.0000
Nd2 Nd 0.1944 0.4001 0.5945
Nd3 Nd 0.4001 0.8056 0.2057
Nd4 Nd 0.5999 0.1944 0.7943
Nd5 Nd 0.8056 0.5999 0.4055
Sn1 Sn 0.5000 0.5000 0.0000
Se1 Se 0.1032 0.7006 0.8038
Se2 Se 0.2994 0.1032 0.4026
Se3 Se 0.7006 0.8968 0.5974
Se4 Se 0.8968 0.2994 0.1962
# - Total energy: -0.42735 Ry/atom
# - Crystal system: tetragonal
# - Space-group type: I4/m, No. 87

Record 2
# La2InAs4Ir3, optimized geometry, DFT PBE-GGA
data_La2InAs4Ir3
_chemical_formula_sum 'La2 In1 As4 Ir3'
_symmetry_space_group_name_H-M 'P 1'
_symmetry_Int_Tables_number 1
_symmetry_space_group_name_Hall 'P 1'
_cell_length_a 4.4357
_cell_length_b 4.4357
_cell_length_c 10.3179
_cell_angle_alpha 90.00
_cell_angle_beta 90.00
_cell_angle_gamma 90.00
loop_
_atom_site_label
_atom_site_type_symbol
_atom_site_fract_x
_atom_site_fract_y
_atom_site_fract_z
La1 La 0.0000 0.5000 0.2340
La2 La 0.5000 0.0000 0.7660
In1 In 0.0000 0.0000 0.5000
As1 As 0.0000 0.0000 0.0000
As2 As 0.0000 0.5000 0.6524
As3 As 0.5000 0.0000 0.3476
As4 As 0.5000 0.5000 0.0000
Ir1 Ir 0.0000 0.5000 0.8896
Ir2 Ir 0.5000 0.0000 0.1104
Ir3 Ir 0.5000 0.5000 0.5000
# - Total energy: -0.47557 Ry/atom
# - Crystal system: tetragonal
# - Formation enthalpy at 0 K: -0.693 eV/atom
# - Space-group type: P-4m2, No. 115

Record 3
# Li2CrIn, optimized geometry, DFT PBE-GGA
data_Li2CrIn
_chemical_formula_sum 'Li2 Cr1 In1'
_symmetry_space_group_name_H-M 'P 1'
_symmetry_Int_Tables_number 1
_symmetry_space_group_name_Hall 'P 1'
_cell_length_a 4.0969
_cell_length_b 4.0969
_cell_length_c 4.2998
_cell_angle_alpha 90.00
_cell_angle_beta 90.00
_cell_angle_gamma 90.00
loop_
_atom_site_label
_atom_site_type_symbol
_atom_site_fract_x
_atom_site_fract_y
_atom_site_fract_z
Li1 Li 0.0000 0.5000 0.0000
Li2 Li 0.5000 0.0000 0.0000
Cr1 Cr 0.0000 0.0000 0.5000
In1 In 0.5000 0.5000 0.5000
# - Total energy: -0.28585 Ry/atom
# - Crystal system: tetragonal
# - Formation enthalpy at 0 K: 0.158 eV/atom
# - Space-group type: P4/mmm, No. 123

Record 4
# Be2Te2Ir, optimized geometry, DFT PBE-GGA
data_Be2Te2Ir
_chemical_formula_sum 'Be2 Te2 Ir1'
_symmetry_space_group_name_H-M 'P 1'
_symmetry_Int_Tables_number 1
_symmetry_space_group_name_Hall 'P 1'
_cell_length_a 4.9716
_cell_length_b 4.9716
_cell_length_c 4.9716
_cell_angle_alpha 118.20
_cell_angle_beta 118.20
_cell_angle_gamma 93.15
loop_
_atom_site_label
_atom_site_type_symbol
_atom_site_fract_x
_atom_site_fract_y
_atom_site_fract_z
Be1 Be 0.1562 0.1562 0.0000
Be2 Be 0.8438 0.8438 0.0000
Te1 Te 0.2500 0.7500 0.5000
Te2 Te 0.7500 0.2500 0.5000
Ir1 Ir 0.5000 0.5000 0.0000
# - Total energy: -0.28392 Ry/atom
# - Crystal system: tetragonal
# - Space-group type: I4/mmm, No. 139

Record 5
# CoSeBr2, optimized geometry, DFT PBE-GGA
data_CoSeBr2
_chemical_formula_sum 'Co1 Se1 Br2'
_symmetry_space_group_name_H-M 'P 1'
_symmetry_Int_Tables_number 1
_symmetry_space_group_name_Hall 'P 1'
_cell_length_a 5.2280
_cell_length_b 3.4780
_cell_length_c 5.5187
_cell_angle_alpha 90.00
_cell_angle_beta 106.57
_cell_angle_gamma 90.00
loop_
_atom_site_label
_atom_site_type_symbol
_atom_site_fract_x
_atom_site_fract_y
_atom_site_fract_z
Co1 Co 0.0000 0.0000 0.0000
Se1 Se 0.1614 0.5000 0.2648
Br1 Br 0.5424 0.0000 0.0477
Br2 Br 0.8795 0.5000 0.6727
# - Total energy: -0.26302 Ry/atom
# - Crystal system: monoclinic
# - Space-group type: Pm, No. 6

Record 6
# TcTeRh2, optimized geometry, DFT PBE-GGA
data_TcTeRh2
_chemical_formula_sum 'Tc1 Te1 Rh2'
_symmetry_space_group_name_H-M 'P 1'
_symmetry_Int_Tables_number 1
_symmetry_space_group_name_Hall 'P 1'
_cell_length_a 4.7063
_cell_length_b 4.7063
_cell_length_c 4.9904
_cell_angle_alpha 101.10
_cell_angle_beta 101.10
_cell_angle_gamma 36.92
loop_
_atom_site_label
_atom_site_type_symbol
_atom_site_fract_x
_atom_site_fract_y
_atom_site_fract_z
Tc1 Tc 0.0000 0.0000 0.0000
Te1 Te 0.2514 0.2514 0.7004
Rh1 Rh 0.5004 0.5004 0.4522
Rh2 Rh 0.7449 0.7449 0.1986
# - Total energy: -0.50641 Ry/atom
# - Crystal system: monoclinic
# - Space-group type: Cm, No. 8